Compound: CoPbF2
Source: Alexandria
Functional: PBE with a Hubbard U
Structure: optimized geometry

Structure (POSCAR):
```
CoPbF2
1.0
-0.174 -4.114 -1.884
-2.160 -3.370 2.117
-3.913 -1.571 -1.651
Co Pb F
1 1 2
direct
0.000 0.000 0.000
0.500 0.500 0.500
0.750 0.750 0.750
0.250 0.250 0.250
```

## Properties
DOS(E_F)	2.5	states/eV/cell
VASP energy	-3.94	eV/atom
space-group type	No. 225
polymorph energy (0 for the lowest one)	639.6	meV per atom